The following is a PBE calculation of an optimized crystal structure of NaPtSeN2, from Alexandria.

a b c (Å): 3.894 3.894 5.600
angles (deg): 90.00 90.00 90.00
Last column: magnetic moment on the atom in μB.
Positions (direct):
1 Na 0.500 0.500 0.500  0.00
2 Se 0.000 0.000 0.500  0.14
3 Pt 0.000 0.000 0.000  0.08
4 N 0.000 0.500 0.000  0.40
5 N 0.500 0.000 0.000  0.40

Properties
E_form (uncorrected): 0.8508 eV/atom
Space group: P4/mmm, No. 123
Crystal system: tetragonal

---

The following is a PBE calculation of an optimized crystal structure of SmY3Au4, from Alexandria.

a b c (Å): 3.615 3.615 14.549
angles (deg): 90.00 90.00 90.00
Positions (direct):
1 Y 0.500 0.500 0.252
2 Y 0.500 0.500 0.500
3 Y 0.500 0.500 0.748
4 Au 0.000 0.000 0.868
5 Au 0.000 0.000 0.132
6 Au 0.000 0.000 0.376
7 Au 0.000 0.000 0.624
8 Sm 0.500 0.500 0.000

Properties
Energy relative to the elements: -0.843 eV/atom
Space group: P4/mmm, No. 123
Crystal system: tetragonal

---

The following is a PBE calculation of an optimized crystal structure of UIrSe2, from Alexandria.

a b c (Å): 3.620 3.620 8.812
angles (deg): 78.15 78.15 60.00
Last column: magnetic moment on the atom in μB.
Positions (direct):
1 Ir 0.500 0.500 0.500  0.02
2 U 0.000 0.000 0.000  2.88
3 Se 0.114 0.114 0.659  -0.03
4 Se 0.886 0.886 0.341  -0.03

Properties
E_form (uncorrected): 0.0914 eV/atom
Space group: R-3m, No. 166
Crystal system: trigonal

---

The following is a PBE calculation of an optimized crystal structure of SiAu4, from Alexandria.

a b c (Å): 4.735 4.735 4.735
angles (deg): 90.00 90.00 90.00
Positions (direct):
1 Si 0.500 0.500 0.500
2 Au 0.000 0.000 0.000
3 Au 0.500 0.000 0.500
4 Au 0.000 0.500 0.500
5 Au 0.500 0.500 0.000

Properties
E_form (uncorrected): 0.3751 eV/atom
Space group: Pm-3m, No. 221
Crystal system: cubic

---

The following is a PBE calculation of an optimized crystal structure of ZrCuH, from Alexandria.

a b c (Å): 3.225 3.225 7.194
angles (deg): 90.00 90.00 89.99
Positions (direct):
1 Zr 0.981 0.993 0.069
2 Zr 0.481 0.493 0.688
3 Cu 0.980 0.994 0.460
4 Cu 0.480 0.494 0.298
5 H 0.481 0.992 0.879
6 H 0.981 0.492 0.879

Properties
Space group: Aem2, No. 39
Crystal system: orthorhombic

---

The following is a PBE calculation of an optimized crystal structure of Ba4AcHf3O12, from Alexandria.

a b c (Å): 7.516 7.516 7.516
angles (deg): 109.47 109.47 109.47
Positions (direct):
1 Ba 0.500 0.500 0.500
2 Ba 0.000 0.000 0.500
3 Ba 0.500 0.000 0.000
4 Ba 0.000 0.500 0.000
5 Ac 0.000 0.000 0.000
6 Hf 0.500 0.000 0.500
7 Hf 0.500 0.500 0.000
8 Hf 0.000 0.500 0.500
9 O 0.250 0.500 0.750
10 O 0.731 0.000 0.731
11 O 0.269 0.000 0.269
12 O 0.750 0.500 0.250
13 O 0.731 0.731 0.000
14 O 0.269 0.269 0.000
15 O 0.750 0.250 0.500
16 O 0.250 0.750 0.500
17 O 0.500 0.250 0.750
18 O 0.000 0.731 0.731
19 O 0.500 0.750 0.250
20 O 0.000 0.269 0.269

Properties
E_form (uncorrected): -3.0933 eV/atom
Space group: Im-3m, No. 229
Crystal system: cubic

---

The following is a PBE calculation of an optimized crystal structure of ScZn2Co2, from Alexandria.

a b c (Å): 3.597 3.597 11.760
angles (deg): 98.80 98.80 90.00
Last column: magnetic moment on the atom in μB.
Positions (direct):
1 Sc 0.616 0.616 0.232  -0.04
2 Sc 0.384 0.384 0.768  -0.04
3 Zn 0.000 0.500 0.000  0.00
4 Zn 0.176 0.176 0.352  -0.04
5 Zn 0.500 0.000 0.000  0.00
6 Zn 0.824 0.824 0.648  -0.04
7 Co 0.750 0.250 0.500  1.52
8 Co 0.928 0.928 0.855  -0.20
9 Co 0.072 0.072 0.145  -0.20
10 Co 0.250 0.750 0.500  1.52

Properties
Energy relative to the elements: -0.104 eV/atom
Space group: I4/mmm, No. 139
Crystal system: tetragonal

---

The following is a PBE calculation of an optimized crystal structure of PaGaSiRu3, from Alexandria.

a b c (Å): 5.414 5.273 8.499
angles (deg): 108.07 90.00 90.00
Positions (direct):
1 Pa 0.750 0.285 0.570
2 Pa 0.250 0.715 0.430
3 Ga 0.250 0.393 0.786
4 Ga 0.750 0.607 0.214
5 Si 0.250 0.092 0.183
6 Si 0.750 0.908 0.817
7 Ru 0.250 0.240 0.481
8 Ru 0.000 0.257 0.000
9 Ru 0.500 0.743 0.000
10 Ru 0.500 0.257 0.000
11 Ru 0.000 0.743 0.000
12 Ru 0.750 0.760 0.519

Properties
E_form (uncorrected): -0.1629 eV/atom
Space group: Cmcm, No. 63
Crystal system: orthorhombic

---

no.,spin magnetization (μB/cell),uncorrected energy (eV per atom)
1,1.4,-4.65
2,0.0,-5.50
3,3.5,-6.69
4,0.0,-3.33
5,0.0,-5.66
6,0.0,-8.15
7,2.3,-4.72
8,0.0,-7.79